! BaY2Co PBEsol relaxed; values from VASP
&SYSTEM
  ibrav = 0, nat = 4, ntyp = 3
/
ATOMIC_SPECIES
Ba 137.33 Ba.upf
Y 88.91 Y.upf
Co 58.93 Co.upf
ATOMIC_POSITIONS crystal
Ba 0.000 0.000 0.000
Y 0.000 0.500 0.500
Y 0.500 0.000 0.500
Co 0.500 0.500 0.000
CELL_PARAMETERS angstrom
4.569 0.000 0.000
0.000 4.569 0.000
0.000 0.000 5.104
! E above lowest polymorph, meV per atom: 590
! Total DFT energy (no corrections), eV per atom: -5.283
! Crystal system: tetragonal
! Formation enthalpy at 0 K, meV/atom: 600